No. 1
! LaTlCl2 PBE-GGA relaxed; values from VASP
! - Energy relative to the lowest polymorph listed for this composition: 51 meV/atom
! - E_form (uncorrected): -1.3744 eV per atom
&SYSTEM
  ibrav = 0, nat = 4, ntyp = 3
/
ATOMIC_SPECIES
La 138.91 La.upf
Cl 35.45 Cl.upf
Tl 204.38 Tl.upf
ATOMIC_POSITIONS angstrom
La 3.6686 -0.6589 1.6157
Cl 4.7571 3.3004 0.0000
Cl 8.2504 5.7240 0.0000
Tl 1.6013 2.3208 1.6197
CELL_PARAMETERS angstrom
6.4031 0.0284 -0.0041
2.2686 5.9879 0.0041
-3.4019 -4.3544 3.2354

=====

No. 2
! TlSnHgPt2 PBE-GGA relaxed; values from VASP
! - Energy of formation: 0.819 eV/atom
&SYSTEM
  ibrav = 0, nat = 5, ntyp = 4
/
ATOMIC_SPECIES
Hg 200.59 Hg.upf
Pt 195.08 Pt.upf
Tl 204.38 Tl.upf
Sn 118.71 Sn.upf
ATOMIC_POSITIONS angstrom
Hg -2.3187 -1.2294 0.5246
Pt -0.4294 1.6342 1.9320
Tl 0.0000 0.0000 0.0000
Sn -1.5404 -1.1848 4.0696
Pt 1.2078 -1.5896 1.6131
CELL_PARAMETERS angstrom
-0.8588 3.2685 3.8639
-4.6374 -2.4588 1.0492
2.4156 -3.1792 3.2262

=====

No. 3
! CePr3Rh PBE-GGA relaxed; values from VASP
! - Energy of formation: -0.039 eV/atom
&SYSTEM
  ibrav = 0, nat = 5, ntyp = 3
/
ATOMIC_SPECIES
Pr 140.91 Pr.upf
Rh 102.91 Rh.upf
Ce 140.12 Ce.upf
ATOMIC_POSITIONS angstrom
Pr 1.5538 -1.3867 1.8915
Rh 0.0000 0.0000 0.0000
Ce 1.6994 1.8760 4.1639
Pr -1.5840 1.0527 2.0730
Pr 1.7296 2.2099 0.1993
CELL_PARAMETERS angstrom
-3.1681 2.1055 4.1461
3.1076 -2.7734 3.7829
3.4591 4.4199 0.3987

=====

| no. | ρ (g/cm³) |
| --- | --- |
| 1 | 5.6 |
| 2 | 10.8 |
| 3 | 6.2 |